Entry 1:
The following is a PBE calculation of crystalline Er5Co2Bi at its relaxed geometry, from Alexandria via LeMat-Bulk.

Results
**Energy of formation from the pure elements**: -369 meV per atom
**Raw total energy**: -5.483 eV per atom

Unit cell a=7.533 b=7.533 c=13.752 alpha=90.00 beta=90.00 gamma=90.00
Space group I4/mcm (No. 140)
Asymmetric unit:
1 Er 0.000 0.000 0.000 (multiplicity 4)
2 Er 0.158 0.342 0.128 (multiplicity 16)
3 Co 0.136 0.364 0.500 (multiplicity 8)
4 Bi 0.000 0.000 0.250 (multiplicity 4)


Entry 2:
The following is a PBE calculation of crystalline IrS4 at its relaxed geometry, from Alexandria via LeMat-Bulk.

Results
**Energy above the lowest structure with this stoichiometry**: 1039.1 meV/atom
**Energy relative to the elements, uncorrected**: 0.850 eV/atom
**Raw total energy**: -4.224 eV per atom

Unit cell a=4.625 b=4.625 c=4.625 alpha=90.00 beta=90.00 gamma=90.00
Space group Pm-3m (No. 221)
Asymmetric unit:
1 Ir 0.000 0.000 0.000 (multiplicity 1)
2 S 0.000 0.000 0.500 (multiplicity 3)
3 S 0.500 0.500 0.500 (multiplicity 1)


Entry 3:
The following is a PBE calculation of crystalline Cd2TcMo at its relaxed geometry, from Alexandria via LeMat-Bulk.

Results
**Energy above the lowest structure with this stoichiometry**: 304.7 meV/atom
**Energy of formation from the pure elements**: 490 meV per atom
**Raw total energy**: -5.266 eV per atom

Unit cell a=4.236 b=4.236 c=7.720 alpha=90.00 beta=90.00 gamma=90.00
Space group I-4m2 (No. 119)
Asymmetric unit:
1 Cd 0.000 0.000 0.000 (multiplicity 2)
2 Cd 0.000 0.500 0.250 (multiplicity 2)
3 Tc 0.000 0.000 0.500 (multiplicity 2)
4 Mo 0.000 0.500 0.750 (multiplicity 2)


Entry 4:
The following is a PBE calculation of crystalline LiTcAs at its relaxed geometry, from Alexandria via LeMat-Bulk.

Results
**Energy above the lowest structure with this stoichiometry**: 436.7 meV/atom
**Energy of formation from the pure elements**: 43 meV per atom
**Raw total energy**: -5.600 eV per atom

Unit cell a=3.0245 b=3.0245 c=6.2520 alpha=90.00 beta=90.00 gamma=120.00
Space group P3m1 (No. 156)
Asymmetric unit:
1 Li 0.0000 0.0000 0.0000 (multiplicity 1)
2 Tc 0.6667 0.3333 0.3641 (multiplicity 1)
3 As 0.3333 0.6667 0.6417 (multiplicity 1)


Entry 5:
The following is a PBE calculation of crystalline ZnGaTcSe2 at its relaxed geometry, from Alexandria via LeMat-Bulk.

Results
**Energy relative to the elements, uncorrected**: 0.264 eV/atom
**Raw total energy**: -4.063 eV per atom

Unit cell a=4.873 b=4.873 c=5.006 alpha=90.00 beta=90.00 gamma=90.00
Space group P4/mmm (No. 123)
Asymmetric unit:
1 Zn 0.000 0.000 0.000 (multiplicity 1)
2 Ga 0.500 0.500 0.000 (multiplicity 1)
3 Tc 0.500 0.500 0.500 (multiplicity 1)
4 Se 0.000 0.500 0.500 (multiplicity 2)


Entry 6:
The following is a PBE calculation of crystalline Pu2GeS at its relaxed geometry, from Alexandria via LeMat-Bulk.

Results
**Energy above the lowest structure with this stoichiometry**: 75.3 meV/atom
**Energy relative to the elements, uncorrected**: -0.971 eV/atom
**Raw total energy**: -10.323 eV per atom

Unit cell a=4.0381 b=4.0381 c=20.3227 alpha=90.00 beta=90.00 gamma=120.00
Space group R-3m (No. 166, hexagonal axes)
Asymmetric unit:
1 Pu 0.0000 0.0000 0.2447 (multiplicity 6)
2 Ge 0.0000 0.0000 0.0000 (multiplicity 3)
3 S 0.0000 0.0000 0.5000 (multiplicity 3)